[1]
A geometry-optimized Na3Ti5S12 structure, computed with PBE.

```
data_Na3Ti5S12
_chemical_formula_sum 'Na24 Ti40 S96'
_symmetry_space_group_name_H-M 'I a -3 d'
_symmetry_Int_Tables_number 230
_symmetry_space_group_name_Hall '-I 4bd 2c 3'
_cell_length_a 15.365
_cell_length_b 15.365
_cell_length_c 15.365
_cell_angle_alpha 90.00
_cell_angle_beta 90.00
_cell_angle_gamma 90.00
loop_
_atom_site_label
_atom_site_type_symbol
_atom_site_fract_x
_atom_site_fract_y
_atom_site_fract_z
Na1 Na 0.000 0.250 0.125
Ti1 Ti 0.000 0.000 0.000
Ti2 Ti 0.000 0.250 0.375
S1 S 0.035 0.053 0.645
```

Computed properties:
E_form (uncorrected), kJ/mol of atoms: -102.4

***

[2]
A geometry-optimized Pa2HgGe structure, computed with PBE.

```
data_Pa2HgGe
_chemical_formula_sum 'Pa2 Hg1 Ge1'
_symmetry_space_group_name_H-M 'P 4/m m m'
_symmetry_Int_Tables_number 123
_symmetry_space_group_name_Hall '-P 4 2'
_cell_length_a 4.617
_cell_length_b 4.617
_cell_length_c 4.358
_cell_angle_alpha 90.00
_cell_angle_beta 90.00
_cell_angle_gamma 90.00
loop_
_atom_site_label
_atom_site_type_symbol
_atom_site_fract_x
_atom_site_fract_y
_atom_site_fract_z
Pa1 Pa 0.000 0.500 0.000
Hg1 Hg 0.000 0.000 0.500
Ge1 Ge 0.500 0.500 0.500
```

Computed properties:
Energy above the most stable polymorph in this dataset, meV/atom: 26
Formation energy, meV per atom: -81

***

[3]
A geometry-optimized LuThTlPb structure, computed with PBE.

```
data_LuThTlPb
_chemical_formula_sum 'Lu4 Th4 Tl4 Pb4'
_symmetry_space_group_name_H-M 'F -4 3 m'
_symmetry_Int_Tables_number 216
_symmetry_space_group_name_Hall 'F -4 2 3'
_cell_length_a 7.707
_cell_length_b 7.707
_cell_length_c 7.707
_cell_angle_alpha 90.00
_cell_angle_beta 90.00
_cell_angle_gamma 90.00
loop_
_atom_site_label
_atom_site_type_symbol
_atom_site_fract_x
_atom_site_fract_y
_atom_site_fract_z
Lu1 Lu 0.000 0.000 0.000
Th1 Th 0.000 0.000 0.500
Tl1 Tl 0.250 0.250 0.250
Pb1 Pb 0.250 0.250 0.750
```

Computed properties:
Formation energy, meV per atom: -180

***

Calculated theoretical density (g cm⁻³), listed in the same order as above: 2.5 13.1 11.9
Calculated density of states at the Fermi level (states/eV per cell), listed in the same order as above: 127.97 7.74 16.16